No. 1
Density functional theory data (GGA-PBE) for a geometry-optimized Sm7Ga2Te2 structure.

Values from the calculation:
The magnetic moment comes out at 0.002 μB/f.u. The symmetry is Imm2, No. 44. Its calculated volume is 326.1 Å³/cell. The total energy is -52.7 eV for the cell shown.

Cell: 4.3808 9.1712 9.1712 Å, 67.52 76.18 76.18°
Last column: nearest neighbours and their distance in Å.
Element x y z (fractional)
Te 0.7226 0.8651 0.6896  8 Sm 3.13-3.36
Te 0.2774 0.3104 0.1349  8 Sm 3.13-3.36
Sm 0.1234 0.1548 0.5984  2 Ga 2.97, 2 Te 3.27
Sm 0.8766 0.4016 0.8452  2 Ga 2.97, 2 Te 3.27
Sm 0.5000 0.0058 0.9942  2 Ga 3.23, 2 Te 3.36
Sm 0.8111 0.0632 0.3146  1 Ga 2.95, 3 Te 3.13-3.19
Sm 0.6142 0.5014 0.2703  3 Ga 3.06-3.19, 2 Te 3.25, 1 Sm 3.34
Sm 0.3858 0.7297 0.4986  3 Ga 3.06-3.19, 2 Te 3.25, 1 Sm 3.34
Sm 0.1889 0.6854 0.9368  1 Ga 2.95, 3 Te 3.13-3.19
Ga 0.5000 0.3637 0.6363  6 Sm 2.97-3.06
Ga 0.0000 0.7727 0.2273  8 Sm 2.95-3.23

***

No. 2
Density functional theory data (GGA-PBE) for a geometry-optimized Tm3Te2Pt structure.

Values from the calculation:
The magnetic moment comes out at 0.001 μB/f.u. The energy above the most stable polymorph in this dataset comes out at 133.7 meV per atom. The symmetry is Cmmm, No. 65. Its calculated volume is 181.2 Å³/cell. The total energy is -32.5 eV for the cell shown.

Cell: 4.2170 5.9884 7.7766 Å, 112.65 90.00 90.00°
Last column: nearest neighbours and their distance in Å.
Element x y z (fractional)
Tm 0.0000 0.5000 0.0000  2 Pt 2.99, 4 Te 3.11
Tm 0.5000 0.1230 0.2460  2 Pt 2.75, 2 Te 3.04
Tm 0.5000 0.8770 0.7540  2 Pt 2.75, 2 Te 3.04
Te 0.5000 0.3403 0.6807  5 Tm 3.04-3.12
Te 0.5000 0.6597 0.3193  5 Tm 3.04-3.12
Pt 0.0000 0.0000 0.0000  6 Tm 2.75-2.99

***

No. 3
Density functional theory data (GGA-PBE) for a geometry-optimized YThHg2 structure.

Values from the calculation:
The magnetic moment comes out at 0.000 μB/f.u. The energy above the most stable polymorph in this dataset comes out at 0.0 meV per atom. The symmetry is P4/mmm, No. 123. Its calculated volume is 107.2 Å³/cell. The total energy is -15.9 eV for the cell shown. The formation energy comes out at -0.353 eV per atom.

Cell: 3.6445 3.6445 8.0683 Å, 90.00 90.00 90.00°
Last column: nearest neighbours and their distance in Å.
Element x y z (fractional)
Hg 0.0000 0.0000 0.2313  4 Y 3.18, 4 Th 3.37
Hg 0.0000 0.0000 0.7687  4 Y 3.18, 4 Th 3.37
Th 0.5000 0.5000 0.5000  8 Hg 3.37, 4 Th 3.64
Y 0.5000 0.5000 0.0000  8 Hg 3.18

***

No. 4
Density functional theory data (GGA-PBE) for a geometry-optimized YErW2N6 structure.

Values from the calculation:
The magnetic moment comes out at 0.000 μB/f.u. The symmetry is C2/c, No. 15. Its calculated volume is 314.4 Å³/cell. The total energy is -193.9 eV for the cell shown.

Cell: 6.3051 7.4004 7.4004 Å, 81.02 72.87 72.87°
Last column: nearest neighbours and their distance in Å.
Element x y z (fractional)
N 0.6579 0.7798 0.9984  1 W 1.88
N 0.1585 0.6257 0.1168  1 W 1.80
N 0.8421 0.0016 0.2202  1 W 1.88
N 0.0860 0.6279 0.6633  2 W 1.89-1.94
N 0.1579 0.9984 0.7798  1 W 1.88
N 0.5860 0.6633 0.6279  2 W 1.89-1.94
N 0.6585 0.1168 0.6257  1 W 1.80
N 0.4140 0.3367 0.3721  2 W 1.89-1.94
N 0.3415 0.8832 0.3743  1 W 1.80
N 0.3421 0.2202 0.0016  1 W 1.88
N 0.8415 0.3743 0.8832  1 W 1.80
N 0.9140 0.3721 0.3367  2 W 1.89-1.94
Y 0.2500 0.9086 0.0914  6 N 2.30-2.49
Y 0.7500 0.0914 0.9086  6 N 2.30-2.49
W 0.2825 0.7978 0.6208  4 N 1.80-1.94
W 0.2175 0.3792 0.2022  4 N 1.80-1.94
W 0.7825 0.6208 0.7978  4 N 1.80-1.94
W 0.7175 0.2022 0.3792  4 N 1.80-1.94
Er 0.2500 0.2849 0.7151  6 N 2.30-2.46
Er 0.7500 0.7151 0.2849  6 N 2.30-2.46

***

No. 5
Density functional theory data (GGA-PBE) for a geometry-optimized NaSrPb2 structure.

Values from the calculation:
The magnetic moment comes out at 0.000 μB/f.u. The symmetry is P4/mmm, No. 123. Its calculated volume is 125.7 Å³/cell. The total energy is -11.7 eV for the cell shown. The formation energy comes out at -0.328 eV per atom.

Cell: 4.9057 5.0627 5.0627 Å, 90.00 90.00 90.00°
Last column: nearest neighbours and their distance in Å.
Element x y z (fractional)
Na 0.5000 0.0000 0.0000  8 Pb 3.52, 4 Sr 3.58
Pb 0.0000 0.0000 0.5000  4 Na 3.52, 4 Sr 3.52, 4 Pb 3.58
Pb 0.0000 0.5000 0.0000  4 Na 3.52, 4 Sr 3.52, 4 Pb 3.58
Sr 0.5000 0.5000 0.5000  8 Pb 3.52, 4 Na 3.58

***

No. 6
Density functional theory data (GGA-PBE) for a geometry-optimized Zr7AsS12 structure.

Values from the calculation:
The magnetic moment comes out at 0.000 μB/f.u. The symmetry is R-3, No. 148. Its calculated volume is 471.3 Å³/cell. The total energy is -142.3 eV for the cell shown.

Cell: 8.3254 8.3254 8.3254 Å, 107.68 107.68 107.68°
Last column: nearest neighbours and their distance in Å.
Element x y z (fractional)
S 0.4553 0.1581 0.3788  3 Zr 2.57-2.58
S 0.9224 0.3076 0.7786  3 Zr 2.49-2.64
S 0.2214 0.0776 0.6924  3 Zr 2.49-2.64
S 0.3788 0.4553 0.1581  3 Zr 2.57-2.58
S 0.8419 0.6212 0.5447  3 Zr 2.57-2.58
S 0.1581 0.3788 0.4553  3 Zr 2.57-2.58
S 0.6212 0.5447 0.8419  3 Zr 2.57-2.58
S 0.3076 0.7786 0.9224  3 Zr 2.49-2.64
S 0.5447 0.8419 0.6212  3 Zr 2.57-2.58
S 0.6924 0.2214 0.0776  3 Zr 2.49-2.64
S 0.7786 0.9224 0.3076  3 Zr 2.49-2.64
S 0.0776 0.6924 0.2214  3 Zr 2.49-2.64
Zr 0.0421 0.3646 0.1250  5 S 2.49-2.64, 1 As 2.76
Zr 0.9579 0.6354 0.8750  5 S 2.49-2.64, 1 As 2.76
Zr 0.6354 0.8750 0.9579  5 S 2.49-2.64, 1 As 2.76
Zr 0.3646 0.1250 0.0421  5 S 2.49-2.64, 1 As 2.76
Zr 0.1250 0.0421 0.3646  5 S 2.49-2.64, 1 As 2.76
Zr 0.5000 0.5000 0.5000  6 S 2.58
Zr 0.8750 0.9579 0.6354  5 S 2.49-2.64, 1 As 2.76
As 0.0000 0.0000 0.0000  6 Zr 2.76

***

No. 7
Density functional theory data (GGA-PBE) for a geometry-optimized CrSb2Te structure.

Values from the calculation:
The magnetic moment comes out at 3.031 μB/f.u. The energy above the most stable polymorph in this dataset comes out at 85.3 meV per atom. The symmetry is Imm2, No. 44. Its calculated volume is 107.1 Å³/cell. The total energy is -20.3 eV for the cell shown.

Cell: 7.0628 7.0628 7.0628 Å, 149.22 143.39 48.56°
Last column: nearest neighbours and their distance in Å.
Element x y z (fractional)
Te 0.4184 0.4184 0.0000  2 Cr 2.77
Sb 0.7396 0.2396 0.5000  4 Cr 2.92, 2 Sb 3.01, 2 Te 3.20
Sb 0.0820 0.0820 0.0000  2 Cr 2.96, 2 Sb 3.01
Cr 0.2600 0.7600 0.5000  2 Te 2.77, 6 Sb 2.92-2.96

***

No. 8
Density functional theory data (GGA-PBE) for a geometry-optimized ReAgCl structure.

Values from the calculation:
The magnetic moment comes out at 0.000 μB/f.u. The energy above the most stable polymorph in this dataset comes out at 491.0 meV per atom. The symmetry is P-6m2, No. 187. Its calculated volume is 49.5 Å³/cell. The total energy is -14.0 eV for the cell shown.

Cell: 4.5331 4.5331 2.7809 Å, 90.00 90.00 120.00°
Last column: nearest neighbours and their distance in Å.
Element x y z (fractional)
Cl 0.3333 0.6667 0.5002  3 Re 2.62, 2 Cl 2.78
Re 0.6667 0.3333 0.4998  3 Cl 2.62, 2 Re 2.78
Ag 0.0000 0.0000 0.0000  2 Ag 2.78, 6 Cl 2.96, 6 Re 2.96